No. 1
Computed, not measured: crystalline DyPuAg at its relaxed geometry at the PBE level of DFT.

The structure in CIF format:
```
data_DyPuAg
_chemical_formula_sum 'Dy2 Pu2 Ag2'
_cell_length_a 3.401
_cell_length_b 3.401
_cell_length_c 13.594
_cell_angle_alpha 90.00
_cell_angle_beta 90.00
_cell_angle_gamma 90.00
_space_group_name_H-M_alt 'I 4 m m'
_space_group_IT_number 107
_space_group_name_Hall 'I 4 -2'
loop_
_atom_site_label
_atom_site_type_symbol
_atom_site_fract_x
_atom_site_fract_y
_atom_site_fract_z
Dy1 Dy 0.000 0.000 0.000
Pu1 Pu 0.000 0.000 0.694
Ag1 Ag 0.000 0.000 0.354
```

Calculated values
M_tot   6.20 μB/f.u.
Calculated volume   157 Å³/cell
VASP energy   -7.234 eV per atom

No. 2
Computed, not measured: crystalline Pm3Cd2Cu at its relaxed geometry at the PBE level of DFT.

The structure in CIF format:
```
data_Pm3Cd2Cu
_chemical_formula_sum 'Pm3 Cd2 Cu1'
_cell_length_a 3.688
_cell_length_b 3.688
_cell_length_c 11.592
_cell_angle_alpha 90.00
_cell_angle_beta 90.00
_cell_angle_gamma 90.00
_space_group_name_H-M_alt 'P 4/m m m'
_space_group_IT_number 123
_space_group_name_Hall '-P 4 2'
loop_
_atom_site_label
_atom_site_type_symbol
_atom_site_fract_x
_atom_site_fract_y
_atom_site_fract_z
Pm1 Pm 0.000 0.000 0.000
Pm2 Pm 0.000 0.000 0.354
Cd1 Cd 0.500 0.500 0.175
Cu1 Cu 0.500 0.500 0.500
```

Calculated values
M_tot   0.13 μB/f.u.
Calculated volume   158 Å³/cell
VASP energy   -3.621 eV per atom

No. 3
Computed, not measured: crystalline YTi2Pt at its relaxed geometry at the PBE level of DFT.

The structure in CIF format:
```
data_YTi2Pt
_chemical_formula_sum 'Y4 Ti8 Pt4'
_cell_length_a 10.577
_cell_length_b 4.347
_cell_length_c 7.098
_cell_angle_alpha 90.00
_cell_angle_beta 96.50
_cell_angle_gamma 90.00
_space_group_name_H-M_alt 'C 1 m 1'
_space_group_IT_number 8
loop_
_space_group_symop_operation_xyz
'x,y,z'
'x,-y,z'
'x+1/2,y+1/2,z'
'x+1/2,-y+1/2,z'
loop_
_atom_site_label
_atom_site_type_symbol
_atom_site_fract_x
_atom_site_fract_y
_atom_site_fract_z
Y1 Y 0.000 0.000 0.000
Y2 Y 0.145 0.000 0.490
Ti1 Ti 0.219 0.500 0.175
Ti2 Ti 0.283 0.000 0.958
Ti3 Ti 0.420 0.000 0.296
Ti4 Ti 0.449 0.000 0.683
Pt1 Pt 0.202 0.500 0.790
Pt2 Pt 0.364 0.500 0.491
```

Calculated values
M_tot   0.00 μB/f.u.
Calculated volume   324 Å³/cell
VASP energy   -7.486 eV per atom

No. 4
Computed, not measured: crystalline Hf2SnPd8 at its relaxed geometry at the PBE level of DFT.

The structure in CIF format:
```
data_Hf2SnPd8
_chemical_formula_sum 'Hf4 Sn2 Pd16'
_cell_length_a 15.162
_cell_length_b 4.642
_cell_length_c 5.850
_cell_angle_alpha 90.00
_cell_angle_beta 112.60
_cell_angle_gamma 90.00
_space_group_name_H-M_alt 'C 1 2/m 1'
_space_group_IT_number 12
loop_
_space_group_symop_operation_xyz
'x,y,z'
'-x,-y,-z'
'-x,y,-z'
'x,-y,z'
'x+1/2,y+1/2,z'
'-x+1/2,-y+1/2,-z'
'-x+1/2,y+1/2,-z'
'x+1/2,-y+1/2,z'
loop_
_atom_site_label
_atom_site_type_symbol
_atom_site_fract_x
_atom_site_fract_y
_atom_site_fract_z
Hf1 Hf 0.189 0.000 0.189
Sn1 Sn 0.000 0.500 0.500
Pd1 Pd 0.000 0.000 0.239
Pd2 Pd 0.145 0.500 0.911
Pd3 Pd 0.146 0.500 0.381
Pd4 Pd 0.181 0.000 0.681
```

Calculated values
M_tot   0.00 μB/f.u.
Calculated volume   380 Å³/cell
VASP energy   -6.588 eV per atom

No. 5
Computed, not measured: crystalline PuInGaGe at its relaxed geometry at the PBE level of DFT.

The structure in CIF format:
```
data_PuInGaGe
_chemical_formula_sum 'Pu4 In4 Ga4 Ge4'
_cell_length_a 7.048
_cell_length_b 7.048
_cell_length_c 7.048
_cell_angle_alpha 90.00
_cell_angle_beta 90.00
_cell_angle_gamma 90.00
_space_group_name_H-M_alt 'F -4 3 m'
_space_group_IT_number 216
_space_group_name_Hall 'F -4 2 3'
loop_
_atom_site_label
_atom_site_type_symbol
_atom_site_fract_x
_atom_site_fract_y
_atom_site_fract_z
Pu1 Pu 0.000 0.000 0.000
In1 In 0.000 0.000 0.500
Ga1 Ga 0.250 0.250 0.750
Ge1 Ge 0.250 0.250 0.250
```

Calculated values
M_tot   5.70 μB/f.u.
Calculated volume   350 Å³/cell
VASP energy   -6.331 eV per atom

No. 6
Computed, not measured: crystalline LiTlSn4 at its relaxed geometry at the PBE level of DFT.

The structure in CIF format:
```
data_LiTlSn4
_chemical_formula_sum 'Li4 Tl4 Sn16'
_cell_length_a 8.862
_cell_length_b 8.862
_cell_length_c 8.862
_cell_angle_alpha 90.00
_cell_angle_beta 90.00
_cell_angle_gamma 90.00
_space_group_name_H-M_alt 'F -4 3 m'
_space_group_IT_number 216
_space_group_name_Hall 'F -4 2 3'
loop_
_atom_site_label
_atom_site_type_symbol
_atom_site_fract_x
_atom_site_fract_y
_atom_site_fract_z
Li1 Li 0.000 0.000 0.000
Tl1 Tl 0.250 0.250 0.250
Sn1 Sn 0.125 0.125 0.625
```

Calculated values
M_tot   0.00 μB/f.u.
Calculated volume   696 Å³/cell
VASP energy   -3.343 eV per atom